The following is a PBE-GGA calculation of a geometry-optimized SrCd7 structure, from the Alexandria database.

The value obtained for the volume is 414 Å³/cell. For the energy above the most stable polymorph in this dataset, the calculation gives 0 meV/atom. The calculation puts the magnetic moment at 0.000 μB/atom. For the formation energy, the calculation gives -123 kJ/mol of formula units.

It has space group C2/m (No. 12), with a = 12.112 Å, b = 8.242 Å, c = 4.421 Å, α = 90.00°, β = 110.40° and γ = 90.00°. The asymmetric unit holds Sr at (0.000, 0.000, 0.000), Cd at (0.000, 0.500, 0.000), Cd at (0.134, 0.310, 0.633) and Cd at (0.242, 0.000, 0.747).

***

The following is a PBE-GGA calculation of a geometry-optimized Sr2Cd3 structure, from the Alexandria database.

The value obtained for the volume is 655 Å³/cell. The calculation puts the magnetic moment at 0.000 μB/atom. For the formation energy, the calculation gives -155 kJ/mol of formula units.

It has space group Cmcm (No. 63), with a = 4.258 Å, b = 30.672 Å, c = 5.015 Å, α = 90.00°, β = 90.00° and γ = 90.00°. The asymmetric unit holds Sr at (0.000, 0.071, 0.250), Sr at (0.000, 0.207, 0.750), Cd at (0.000, 0.328, 0.750), Cd at (0.000, 0.381, 0.250) and Cd at (0.000, 0.476, 0.250).

***

The following is a PBE-GGA calculation of a geometry-optimized Sr3Cd2 structure, from the Alexandria database.

The value obtained for the volume is 1266 Å³/cell. The calculation puts the magnetic moment at 0.000 μB/atom. For the formation energy, the calculation gives -81 kJ/mol of formula units.

It has space group R-3c (No. 167, hexagonal axes), with a = 8.0331 Å, b = 8.0331 Å, c = 22.6570 Å, α = 90.00°, β = 90.00° and γ = 120.00°. The asymmetric unit holds Sr at (0.0000, 0.3924, 0.2500) and Cd at (0.0000, 0.0000, 0.1860).

***

Question: What is the formula in the third record?
Answer: Sr3Cd2

***

Question: magnetic moment of number 1 (SrCd7)?
Answer: 0.000 μB/atom

***

Question: Number 2 is which compound?
Answer: Sr2Cd3